! PBE NdSmNp, relaxed; values from VASP
! space group	F-43m
! DFT formation energy	1.1426	eV/atom
! energy relative to the lowest polymorph listed for this composition	0	meV/atom
! final energy	-18.816	eV/cell
&SYSTEM
  ibrav = 0, nat = 3, ntyp = 3
/
ATOMIC_SPECIES
Sm 150.36 Sm.upf
Np 237.00 Np.upf
Nd 144.24 Nd.upf
ATOMIC_POSITIONS angstrom
Sm -2.7995 -0.7476 1.3944
Np -8.3984 -2.2428 4.1833
Nd 0.0000 0.0000 0.0000
CELL_PARAMETERS angstrom
-3.6794 -3.7115 0.5106
-2.4682 -0.6363 4.5910
-5.0503 1.3574 0.4761